No. 1
Compound: CaPr12Er5
Source: Alexandria
Functional: GGA-PBE
Structure: relaxed

Cell and atoms, written as CIF:
```
data_CaPr12Er5
_chemical_formula_sum 'Ca2 Pr24 Er10'
_cell_length_a 15.430
_cell_length_b 15.644
_cell_length_c 5.207
_cell_angle_alpha 90.00
_cell_angle_beta 90.00
_cell_angle_gamma 90.00
_symmetry_space_group_name_H-M 'C m m m'
_symmetry_Int_Tables_number 65
_symmetry_space_group_name_Hall '-C 2 2'
loop_
_atom_site_label
_atom_site_type_symbol
_atom_site_fract_x
_atom_site_fract_y
_atom_site_fract_z
_atom_site_occupancy
Ca1 Ca 0.000 0.000 0.000 1
Pr1 Pr 0.164 0.334 0.500 1
Pr2 Pr 0.166 0.170 0.000 1
Pr3 Pr 0.166 0.500 0.000 1
Pr4 Pr 0.170 0.000 0.500 1
Er1 Er 0.000 0.173 0.500 1
Er2 Er 0.000 0.334 0.000 1
Er3 Er 0.000 0.500 0.500 1
```

---

No. 2
Compound: CaPr8Er2
Source: Alexandria
Functional: GGA-PBE
Structure: relaxed

Cell and atoms, written as CIF:
```
data_CaPr8Er2
_chemical_formula_sum 'Ca2 Pr16 Er4'
_cell_length_a 5.729
_cell_length_b 8.658
_cell_length_c 16.071
_cell_angle_alpha 90.00
_cell_angle_beta 90.00
_cell_angle_gamma 90.00
_symmetry_space_group_name_H-M 'I m m m'
_symmetry_Int_Tables_number 71
_symmetry_space_group_name_Hall '-I 2 2'
loop_
_atom_site_label
_atom_site_type_symbol
_atom_site_fract_x
_atom_site_fract_y
_atom_site_fract_z
_atom_site_occupancy
Ca1 Ca 0.000 0.000 0.000 1
Pr1 Pr 0.000 0.191 0.500 1
Pr2 Pr 0.000 0.300 0.144 1
Pr3 Pr 0.000 0.500 0.340 1
Er1 Er 0.000 0.000 0.297 1
```

---

No. 3
Compound: CaPrEr2
Source: Alexandria
Functional: GGA-PBE
Structure: relaxed

Cell and atoms, written as CIF:
```
data_CaPrEr2
_chemical_formula_sum 'Ca1 Pr1 Er2'
_cell_length_a 3.659
_cell_length_b 3.659
_cell_length_c 10.334
_cell_angle_alpha 90.00
_cell_angle_beta 90.00
_cell_angle_gamma 90.00
_symmetry_space_group_name_H-M 'P 4/m m m'
_symmetry_Int_Tables_number 123
_symmetry_space_group_name_Hall '-P 4 2'
loop_
_atom_site_label
_atom_site_type_symbol
_atom_site_fract_x
_atom_site_fract_y
_atom_site_fract_z
_atom_site_occupancy
Ca1 Ca 0.000 0.000 0.000 1
Pr1 Pr 0.000 0.000 0.500 1
Er1 Er 0.500 0.500 0.266 1
```

---

No. 4
Compound: CaPr6Er4
Source: Alexandria
Functional: GGA-PBE
Structure: relaxed

Cell and atoms, written as CIF:
```
data_CaPr6Er4
_chemical_formula_sum 'Ca2 Pr12 Er8'
_cell_length_a 6.611
_cell_length_b 6.611
_cell_length_c 17.879
_cell_angle_alpha 90.00
_cell_angle_beta 90.00
_cell_angle_gamma 90.00
_symmetry_space_group_name_H-M 'I -4 2 m'
_symmetry_Int_Tables_number 121
_symmetry_space_group_name_Hall 'I -4 2'
loop_
_atom_site_label
_atom_site_type_symbol
_atom_site_fract_x
_atom_site_fract_y
_atom_site_fract_z
_atom_site_occupancy
Ca1 Ca 0.000 0.000 0.000 1
Pr1 Pr 0.000 0.500 0.000 1
Pr2 Pr 0.175 0.175 0.638 1
Er1 Er 0.183 0.183 0.824 1
```

---

No. 5
Compound: CaPrEr2
Source: Alexandria
Functional: GGA-PBE
Structure: relaxed

Cell and atoms, written as CIF:
```
data_CaPrEr2
_chemical_formula_sum 'Ca3 Pr3 Er6'
_cell_length_a 3.5682
_cell_length_b 3.5682
_cell_length_c 37.7579
_cell_angle_alpha 90.00
_cell_angle_beta 90.00
_cell_angle_gamma 120.00
_symmetry_space_group_name_H-M 'R -3 m'
_symmetry_Int_Tables_number 166
_symmetry_space_group_name_Hall '-R 3 2"'
loop_
_atom_site_label
_atom_site_type_symbol
_atom_site_fract_x
_atom_site_fract_y
_atom_site_fract_z
_atom_site_occupancy
Ca1 Ca 0.0000 0.0000 0.0000 1
Pr1 Pr 0.0000 0.0000 0.5000 1
Er1 Er 0.0000 0.0000 0.0898 1
```

---

No. 6
Compound: CaPr6Er2
Source: Alexandria
Functional: GGA-PBE
Structure: relaxed

Cell and atoms, written as CIF:
```
data_CaPr6Er2
_chemical_formula_sum 'Ca1 Pr6 Er2'
_cell_length_a 6.1398
_cell_length_b 6.1398
_cell_length_c 11.7138
_cell_angle_alpha 90.00
_cell_angle_beta 90.00
_cell_angle_gamma 120.00
_symmetry_space_group_name_H-M 'P -3 1 m'
_symmetry_Int_Tables_number 162
_symmetry_space_group_name_Hall '-P 3 2'
loop_
_atom_site_label
_atom_site_type_symbol
_atom_site_fract_x
_atom_site_fract_y
_atom_site_fract_z
_atom_site_occupancy
Ca1 Ca 0.0000 0.0000 0.0000 1
Pr1 Pr 0.0000 0.3298 0.2612 1
Er1 Er 0.3333 0.6667 0.5000 1
```

---

No. 7
Compound: Ca2Pr3Er2
Source: Alexandria
Functional: GGA-PBE
Structure: relaxed

Cell and atoms, written as CIF:
```
data_Ca2Pr3Er2
_chemical_formula_sum 'Ca4 Pr6 Er4'
_cell_length_a 11.502
_cell_length_b 5.199
_cell_length_c 8.433
_cell_angle_alpha 90.00
_cell_angle_beta 98.49
_cell_angle_gamma 90.00
_symmetry_space_group_name_H-M 'C 1 2/m 1'
_symmetry_Int_Tables_number 12
_symmetry_space_group_name_Hall '-C 2y'
loop_
_atom_site_label
_atom_site_type_symbol
_atom_site_fract_x
_atom_site_fract_y
_atom_site_fract_z
_atom_site_occupancy
Ca1 Ca 0.142 0.000 0.428 1
Pr1 Pr 0.000 0.000 0.000 1
Pr2 Pr 0.072 0.500 0.737 1
Er1 Er 0.217 0.500 0.131 1
```

---

No. 8
Compound: CaPr3Er
Source: Alexandria
Functional: GGA-PBE
Structure: relaxed

Cell and atoms, written as CIF:
```
data_CaPr3Er
_chemical_formula_sum 'Ca4 Pr12 Er4'
_cell_length_a 5.584
_cell_length_b 11.435
_cell_length_c 11.476
_cell_angle_alpha 90.00
_cell_angle_beta 90.00
_cell_angle_gamma 90.00
_symmetry_space_group_name_H-M 'C m m m'
_symmetry_Int_Tables_number 65
_symmetry_space_group_name_Hall '-C 2 2'
loop_
_atom_site_label
_atom_site_type_symbol
_atom_site_fract_x
_atom_site_fract_y
_atom_site_fract_z
_atom_site_occupancy
Ca1 Ca 0.000 0.156 0.000 1
Pr1 Pr 0.000 0.152 0.309 1
Pr2 Pr 0.000 0.500 0.191 1
Er1 Er 0.000 0.361 0.500 1
```

---

No. 9
Compound: CaPrEr
Source: Alexandria
Functional: GGA-PBE
Structure: relaxed

Cell and atoms, written as CIF:
```
data_CaPrEr
_chemical_formula_sum 'Ca2 Pr2 Er2'
_cell_length_a 3.690
_cell_length_b 3.690
_cell_length_c 15.688
_cell_angle_alpha 90.00
_cell_angle_beta 90.00
_cell_angle_gamma 90.00
_symmetry_space_group_name_H-M 'I 4 m m'
_symmetry_Int_Tables_number 107
_symmetry_space_group_name_Hall 'I 4 -2'
loop_
_atom_site_label
_atom_site_type_symbol
_atom_site_fract_x
_atom_site_fract_y
_atom_site_fract_z
_atom_site_occupancy
Ca1 Ca 0.000 0.000 0.000 1
Pr1 Pr 0.000 0.000 0.679 1
Er1 Er 0.000 0.000 0.328 1
```

---

No. 10
Compound: CaPrEr
Source: Alexandria
Functional: GGA-PBE
Structure: relaxed

Cell and atoms, written as CIF:
```
data_CaPrEr
_chemical_formula_sum 'Ca2 Pr2 Er2'
_cell_length_a 3.622
_cell_length_b 5.607
_cell_length_c 10.889
_cell_angle_alpha 90.00
_cell_angle_beta 99.53
_cell_angle_gamma 90.00
_symmetry_space_group_name_H-M 'P 1 21/m 1'
_symmetry_Int_Tables_number 11
_symmetry_space_group_name_Hall '-P 2yb'
loop_
_atom_site_label
_atom_site_type_symbol
_atom_site_fract_x
_atom_site_fract_y
_atom_site_fract_z
_atom_site_occupancy
Ca1 Ca 0.203 0.250 0.408 1
Pr1 Pr 0.396 0.250 0.790 1
Er1 Er 0.039 0.250 0.079 1
```

---

No. 11
Compound: CaPr6Er
Source: Alexandria
Functional: GGA-PBE
Structure: relaxed

Cell and atoms, written as CIF:
```
data_CaPr6Er
_chemical_formula_sum 'Ca1 Pr6 Er1'
_cell_length_a 5.225
_cell_length_b 5.225
_cell_length_c 10.466
_cell_angle_alpha 90.00
_cell_angle_beta 90.00
_cell_angle_gamma 90.00
_symmetry_space_group_name_H-M 'P 4/m m m'
_symmetry_Int_Tables_number 123
_symmetry_space_group_name_Hall '-P 4 2'
loop_
_atom_site_label
_atom_site_type_symbol
_atom_site_fract_x
_atom_site_fract_y
_atom_site_fract_z
_atom_site_occupancy
Ca1 Ca 0.000 0.000 0.000 1
Pr1 Pr 0.000 0.500 0.257 1
Pr2 Pr 0.500 0.500 0.000 1
Pr3 Pr 0.500 0.500 0.500 1
Er1 Er 0.000 0.000 0.500 1
```

---

No. 12
Compound: CaPr4Er5
Source: Alexandria
Functional: GGA-PBE
Structure: relaxed

Cell and atoms, written as CIF:
```
data_CaPr4Er5
_chemical_formula_sum 'Ca2 Pr8 Er10'
_cell_length_a 17.740
_cell_length_b 3.595
_cell_length_c 11.746
_cell_angle_alpha 90.00
_cell_angle_beta 104.45
_cell_angle_gamma 90.00
_symmetry_space_group_name_H-M 'C 1 2/m 1'
_symmetry_Int_Tables_number 12
_symmetry_space_group_name_Hall '-C 2y'
loop_
_atom_site_label
_atom_site_type_symbol
_atom_site_fract_x
_atom_site_fract_y
_atom_site_fract_z
_atom_site_occupancy
Ca1 Ca 0.000 0.000 0.000 1
Pr1 Pr 0.019 0.500 0.748 1
Pr2 Pr 0.191 0.000 0.729 1
Er1 Er 0.000 0.000 0.500 1
Er2 Er 0.164 0.500 0.445 1
Er3 Er 0.170 0.500 0.990 1
```

---

One value per record, in order, for formation enthalpy at 0 K: 64.3; 146.7; 33.9; 338.5; 68.2; 419.9; 44.0; 73.2; 14.9; 9.1; 24.4; 240.8 kJ/mol of formula units.
One value per record, in order, for total moment: 0.002; 0.000; 0.000; 0.000; 0.000; 0.004; 0.000; 0.000; 0.000; 0.000; 0.000; 0.000 μB/f.u..
One value per record, in order, for V: 1257; 797; 138; 782; 416; 382; 499; 733; 214; 218; 286; 725 Å³/cell.